[1]
A relaxed structure of PmZrN2, computed with GGA-PBE.

Cell lengths 3.3890, 3.3890, 6.0108 Å; angles 73.63, 73.63, 60.00 degrees
Fractional positions:
N1 0.7397 0.7397 0.7808
N2 0.2603 0.2603 0.2192
Pm1 0.5000 0.5000 0.5000
Zr1 0.0000 0.0000 0.0000

Summary:
Raw formation energy: -1.59 eV per atom
V: 56.53 Å³ per cell

[2]
A relaxed structure of PmZr2N4, computed with GGA-PBE.

Cell lengths 6.7058, 6.7076, 6.7058 Å; angles 119.97, 119.97, 90.04 degrees
Fractional positions:
N1 0.8591 0.1407 0.7182
N2 0.3908 0.1725 0.7818
N3 0.4226 0.1408 0.2818
N4 0.8593 0.5775 0.7183
N5 0.3909 0.6091 0.7817
N6 0.8591 0.1409 0.2817
N7 0.8275 0.6092 0.2183
N8 0.3908 0.6091 0.2182
Pm1 0.0000 0.0001 0.0000
Pm2 0.2500 0.7500 0.5000
Zr1 0.1250 0.3751 0.7501
Zr2 0.6249 0.3750 0.7500
Zr3 0.6250 0.3749 0.2500
Zr4 0.6250 0.8750 0.2501

Summary:
Raw formation energy: -1.24 eV per atom
V: 213.39 Å³ per cell

[3]
A relaxed structure of PmZr3N4, computed with GGA-PBE.

Cell lengths 3.3211, 3.3211, 22.0342 Å; angles 90.00, 90.00, 120.00 degrees
Fractional positions:
N1 0.6667 0.3333 0.9405
N2 0.3333 0.6667 0.4405
N3 0.0000 0.0000 0.6759
N4 0.6667 0.3333 0.5595
N5 0.0000 0.0000 0.3241
N6 0.0000 0.0000 0.8241
N7 0.0000 0.0000 0.1759
N8 0.3333 0.6667 0.0595
Pm1 0.3333 0.6667 0.2500
Pm2 0.6667 0.3333 0.7500
Zr1 0.0000 0.0000 0.5000
Zr2 0.0000 0.0000 0.0000
Zr3 0.6667 0.3333 0.1199
Zr4 0.6667 0.3333 0.3801
Zr5 0.3333 0.6667 0.8801
Zr6 0.3333 0.6667 0.6199

Summary:
Raw formation energy: -1.62 eV per atom
V: 210.48 Å³ per cell

[4]
A relaxed structure of Pm2ZrN, computed with GGA-PBE.

Cell lengths 3.4315, 3.4315, 9.6136 Å; angles 79.72, 79.72, 60.00 degrees
Fractional positions:
Pm1 0.1165 0.1165 0.6506
Pm2 0.8835 0.8835 0.3494
Zr1 0.0000 0.0000 0.0000
N1 0.5000 0.5000 0.5000

Summary:
Raw formation energy: -0.39 eV per atom
V: 95.93 Å³ per cell

[5]
A relaxed structure of Pm3ZrN4, computed with GGA-PBE.

Cell lengths 3.5009, 6.0889, 6.0889 Å; angles 109.14, 90.00, 90.00 degrees
Fractional positions:
N1 0.5000 0.7637 0.2363
N2 0.0000 0.7706 0.7706
N3 0.5000 0.2363 0.7637
N4 0.0000 0.2294 0.2294
Pm1 0.0000 0.0000 0.5000
Pm2 0.5000 0.5000 0.5000
Pm3 0.0000 0.5000 0.0000
Zr1 0.5000 0.0000 0.0000

Summary:
Raw formation energy: -1.50 eV per atom
V: 122.62 Å³ per cell

[6]
A relaxed structure of Pm5Zr3N8, computed with GGA-PBE.

Cell lengths 6.9022, 6.9022, 6.9614 Å; angles 60.28, 60.28, 60.00 degrees
Fractional positions:
Zr1 0.5000 0.0000 0.5000
Zr2 0.0000 0.0000 0.5000
Zr3 0.0000 0.5000 0.5000
N1 0.7594 0.7594 0.7217
N2 0.7500 0.2270 0.2730
N3 0.7500 0.7500 0.2730
N4 0.2500 0.2500 0.7270
N5 0.2406 0.2406 0.2783
N6 0.7730 0.2500 0.7270
N7 0.2500 0.7730 0.7270
N8 0.2270 0.7500 0.2730
Pm1 0.5000 0.0000 0.0000
Pm2 0.5000 0.5000 0.5000
Pm3 0.5000 0.5000 0.0000
Pm4 0.0000 0.5000 0.0000
Pm5 0.0000 0.0000 0.0000

Summary:
Raw formation energy: -1.54 eV per atom
V: 235.50 Å³ per cell

Question: Which formula does entry 3 have?
Answer: PmZr3N4

Question: What is the V in the fourth record?
Answer: 95.93 Å³ per cell